Density functional theory data (GGA-PBEsol) for crystalline MnReH2 at its relaxed geometry.

As for the energy: -115.466 eV/cell. Its crystal system is tetragonal.

a b c (Å): 3.974 3.974 7.976
angles (deg): 90.00 90.00 90.00
Space group I-42d (No. 122)
One atom of each set of equivalent atoms:
Mn (0.000, 0.000, 0.000) x4
Re (0.000, 0.000, 0.500) x4
H (0.216, 0.250, 0.125) x8

Density functional theory data (GGA-PBEsol) for crystalline Li3TlSi at its relaxed geometry.

Its uncorrected formation energy is 57.1 meV per atom. Its crystal system is cubic.

a b c (Å): 4.807 4.807 4.807
angles (deg): 90.00 90.00 90.00
Space group Pm-3m (No. 221)
One atom of each set of equivalent atoms:
Li (0.000, 0.000, 0.500) x3
Tl (0.500, 0.500, 0.500) x1
Si (0.000, 0.000, 0.000) x1

Density functional theory data (GGA-PBEsol) for crystalline MgBeW2 at its relaxed geometry.

For the formation energy, the calculation gives 0.41 eV per atom. Its crystal system is monoclinic.

a b c (Å): 2.711 4.265 5.176
angles (deg): 90.00 98.12 90.00
Space group Pm (No. 6)
One atom of each set of equivalent atoms:
Mg (0.000, 0.000, 0.000) x1
Be (0.037, 0.500, 0.731) x1
W (0.415, 0.000, 0.513) x1
W (0.620, 0.500, 0.263) x1

Density functional theory data (GGA-PBEsol) for crystalline BaP2Rh at its relaxed geometry.

For the formation energy, the calculation gives 0.27 eV per atom. Its crystal system is orthorhombic.

a b c (Å): 5.592 7.102 4.075
angles (deg): 90.00 90.00 90.00
Space group Cmmm (No. 65)
One atom of each set of equivalent atoms:
Ba (0.000, 0.000, 0.000) x2
P (0.250, 0.250, 0.500) x4
Rh (0.000, 0.500, 0.000) x2

Density functional theory data (GGA-PBEsol) for crystalline CoAuBr3 at its relaxed geometry.

Its uncorrected formation energy is 351.8 meV per atom. Its crystal system is cubic.

a b c (Å): 4.793 4.793 4.793
angles (deg): 90.00 90.00 90.00
Space group Pm-3m (No. 221)
One atom of each set of equivalent atoms:
Co (0.000, 0.000, 0.000) x1
Au (0.500, 0.500, 0.500) x1
Br (0.000, 0.000, 0.500) x3

Density functional theory data (GGA-PBEsol) for crystalline ReHgOs at its relaxed geometry.

For the formation energy, the calculation gives 1.15 eV per atom. Its crystal system is cubic.

a b c (Å): 6.066 6.066 6.066
angles (deg): 90.00 90.00 90.00
Space group F-43m (No. 216)
One atom of each set of equivalent atoms:
Re (0.000, 0.000, 0.000) x4
Hg (0.250, 0.250, 0.750) x4
Os (0.250, 0.250, 0.250) x4

| no. | theoretical density (g/cm³) |
| --- | --- |
| 1 | 12.8 |
| 2 | 3.8 |
| 3 | 11.2 |
| 4 | 6.2 |
| 5 | 7.5 |
| 6 | 17.2 |